DFT (PBE-GGA) results for crystalline NaMg3Tl2 at its relaxed geometry.

POSCAR file:
```
NaMg3Tl2
1.0
8.3622 -2.2736 0.0000
8.3622 2.2736 0.0000
-5.2020 0.0000 7.9421
Na Mg Tl
2 6 4
Direct
0.0842 0.0842 0.4639 Na
0.9158 0.9158 0.5361 Na
0.0819 0.0819 0.9639 Mg
0.2449 0.2449 0.8774 Mg
0.4138 0.4138 0.8007 Mg
0.5862 0.5862 0.1993 Mg
0.7551 0.7551 0.1226 Mg
0.9181 0.9181 0.0361 Mg
0.2466 0.2466 0.3581 Tl
0.4157 0.4157 0.2585 Tl
0.5843 0.5843 0.7415 Tl
0.7534 0.7534 0.6419 Tl
```

Output
The value obtained for the polymorph energy (0 for the lowest one) is 0.00 eV/f.u. The value obtained for the density is 5.550 g/cm3. As for the space-group type: No. 12. The value obtained for the total moment is 0.00 Bohr magnetons per cell.